1.
DFT (PBE) results for a relaxed KPmAg2F6 crystal.

Computed properties:
Mass density, Mg/m³: 4.53
Fermi-level density of states, states/eV/f.u.: 0.00
ΔE_f (raw), eV per atom: -2.553

a b c (Å): 6.3368 6.3345 6.5529
angles (deg): 60.92 60.85 59.86
Atoms (fractional coordinates):
Ag1 0.0275 0.0290 0.9159
F1 0.5833 0.2293 0.2428
F2 0.1427 0.3936 0.7778
F3 0.3916 0.6882 0.7762
F4 0.6883 0.1437 0.7754
Ag2 0.5308 0.5302 0.4078
F5 0.2302 0.9432 0.2428
Pm1 0.3150 0.3147 0.0553
K1 0.8080 0.8085 0.5748
F6 0.9442 0.5813 0.2464

2.
DFT (PBE) results for a relaxed Cs3K3Rb5 crystal.

Computed properties:
Mass density, Mg/m³: 1.44
Fermi-level density of states, states/eV/f.u.: 10.25
ΔH_f (0 K), eV/atom: 0.068

a b c (Å): 4.9238 15.9588 15.9588
angles (deg): 120.00 90.00 90.00
Atoms (fractional coordinates):
Rb1 0.5000 0.6730 0.6730
Rb2 0.5000 0.6667 0.3333
Rb3 0.5000 0.3270 0.0000
K1 0.5000 0.1540 0.1540
Rb4 0.5000 0.0000 0.3270
Cs1 0.0000 0.5980 0.0000
Cs2 0.0000 0.0000 0.5980
K2 0.5000 0.8460 0.0000
Rb5 0.5000 0.3333 0.6667
Cs3 0.0000 0.4020 0.4020
K3 0.5000 0.0000 0.8460

3.
DFT (PBE) results for a relaxed Nd2Ho8Er crystal.

Computed properties:
Mass density, Mg/m³: 8.47
Fermi-level density of states, states/eV/f.u.: 14.93
ΔH_f (0 K), eV/atom: 0.022

a b c (Å): 5.0174 7.9409 9.3962
angles (deg): 104.67 105.49 90.00
Atoms (fractional coordinates):
Ho1 0.0445 0.7278 0.0890
Ho2 0.5895 0.4531 0.1791
Ho3 0.1348 0.1777 0.2695
Ho4 0.8652 0.8223 0.7305
Ho5 0.3190 0.0918 0.6380
Ho6 0.4105 0.5469 0.8209
Nd1 0.2269 0.6374 0.4538
Nd2 0.7731 0.3626 0.5462
Ho7 0.9555 0.2722 0.9110
Er1 0.5000 0.0000 0.0000
Ho8 0.6810 0.9082 0.3620

Question: Which value of mass density does entry 2 give?
Answer: 1.44 Mg/m³